Ho2ErP3 (PBE-GGA, relaxed); V = 22.3 Å³ per atom; VASP energy = -158.550 eV for the cell shown; calculated formation energy = -1.61 eV per atom
1.0
-0.6081 -4.0428 3.8664
-1.5575 -5.2653 -5.7505
11.6536 -2.5439 -0.8270
P Ho Er
12 8 4
direct
0.2496 0.6250 0.2499 P
0.7504 0.3750 0.7501 P
0.7504 0.8750 0.7499 P
0.2496 0.1250 0.2501 P
0.2502 0.1244 0.9169 P
0.7498 0.8744 0.4170 P
0.7498 0.3744 0.0830 P
0.2502 0.6244 0.5831 P
0.2502 0.6256 0.9170 P
0.2502 0.1256 0.5830 P
0.7498 0.8756 0.0831 P
0.7498 0.3756 0.4169 P
0.2504 0.8750 0.7498 Ho
0.7502 0.1252 0.5833 Ho
0.7496 0.1250 0.2502 Ho
0.2498 0.3748 0.0833 Ho
0.7496 0.6250 0.2498 Ho
0.7502 0.6252 0.9167 Ho
0.2498 0.8748 0.4167 Ho
0.2504 0.3750 0.7502 Ho
0.2498 0.3751 0.4165 Er
0.2498 0.8751 0.0835 Er
0.7502 0.6249 0.5835 Er
0.7502 0.1249 0.9165 Er

Tb3Sm9Ho2 (PBE-GGA, relaxed); V = 34.9 Å³ per atom; VASP energy = -124.313 eV for the cell shown; calculated formation energy = 0.24 eV per atom
1.0
-3.4406 -7.5510 3.6097
8.5241 0.0868 -3.0362
4.3882 3.9439 12.4327
Sm Tb Ho
18 6 4
direct
0.4087 0.1322 0.4589 Sm
0.1322 0.7235 0.5411 Sm
0.7235 0.5913 0.4589 Sm
0.8678 0.2765 0.4589 Sm
0.6005 0.0823 0.2500 Sm
0.5182 0.6005 0.7500 Sm
0.3995 0.9177 0.7500 Sm
0.8678 0.2765 0.0411 Sm
0.5913 0.8678 0.9589 Sm
0.4087 0.1322 0.0411 Sm
0.4818 0.3995 0.2500 Sm
0.1322 0.7235 0.9589 Sm
0.5913 0.8678 0.5411 Sm
0.9177 0.5182 0.2500 Sm
0.7235 0.5913 0.0411 Sm
0.2765 0.4087 0.5411 Sm
0.0823 0.4818 0.7500 Sm
0.2765 0.4087 0.9589 Sm
0.1702 0.9180 0.2500 Tb
0.2522 0.1702 0.7500 Tb
0.0820 0.2522 0.2500 Tb
0.8298 0.0820 0.7500 Tb
0.9180 0.7478 0.7500 Tb
0.7478 0.8298 0.2500 Tb
0.3333 0.6667 0.1421 Ho
0.6667 0.3333 0.8579 Ho
0.3333 0.6667 0.3579 Ho
0.6667 0.3333 0.6421 Ho

Pm4GaAsS2 (PBE-GGA, relaxed); V = 25.3 Å³ per atom; uncorrected formation energy = -1.525 eV/atom; VASP energy = -47.135 eV for the cell shown
1.0
-3.1716 -0.7505 2.4839
-1.9394 -5.5858 -4.1639
3.2949 -5.9714 2.4029
S Pm As Ga
2 4 1 1
direct
0.5000 0.0000 0.5000 S
0.0000 0.0000 0.0000 S
0.5000 0.7586 0.2443 Pm
0.0000 0.7528 0.7498 Pm
0.5000 0.2414 0.7557 Pm
0.0000 0.2472 0.2502 Pm
0.5000 0.5000 0.0000 As
0.0000 0.5000 0.5000 Ga

Rh2WAu (PBE-GGA, relaxed); V = 15.5 Å³ per atom; VASP energy = -30.432 eV for the cell shown; calculated formation energy = 0.13 eV per atom; E above lowest polymorph = 0.894 eV/f.u.
1.0
2.7944 0.0000 0.0000
0.0000 2.7944 0.0000
0.0000 0.0000 7.9649
Au Rh W
1 2 1
direct
0.5000 0.5000 0.7491 Au
0.5000 0.5000 0.2563 Rh
0.0000 0.0000 0.0096 Rh
0.0000 0.0000 0.4849 W

CaNd6Sm2Dy (PBE-GGA, relaxed); V = 35.5 Å³ per atom; VASP energy = -86.757 eV for the cell shown; calculated formation energy = 0.13 eV per atom
1.0
9.4548 -2.2222 -2.3061
0.7642 8.7749 -2.1364
0.7642 -2.4602 8.6897
Dy Ca Sm Nd
2 2 4 12
direct
0.2500 0.9767 0.0233 Dy
0.7500 0.0233 0.9767 Dy
0.2500 0.4017 0.5983 Ca
0.7500 0.5983 0.4017 Ca
0.9578 0.7010 0.7999 Sm
0.0422 0.2990 0.2001 Sm
0.4578 0.7999 0.7010 Sm
0.5422 0.2001 0.2990 Sm
0.5519 0.7639 0.1180 Nd
0.8227 0.4253 0.9711 Nd
0.6239 0.5024 0.7153 Nd
0.3761 0.4976 0.2847 Nd
0.0519 0.1180 0.7639 Nd
0.1239 0.7153 0.5024 Nd
0.9481 0.8820 0.2361 Nd
0.8761 0.2847 0.4976 Nd
0.3227 0.9711 0.4253 Nd
0.6773 0.0289 0.5747 Nd
0.4481 0.2361 0.8820 Nd
0.1773 0.5747 0.0289 Nd

Ca2FeN2 (PBE-GGA, relaxed); V = 15.3 Å³ per atom; uncorrected formation energy = -0.644 eV/atom; VASP energy = -129.337 eV for the cell shown
1.0
-1.6796 -0.0452 4.6185
4.9329 -3.4149 1.7606
5.0952 8.3576 1.9348
Ca Fe N
8 4 8
direct
0.7500 0.1659 0.9443 Ca
0.7500 0.0530 0.3020 Ca
0.2500 0.8341 0.0557 Ca
0.2500 0.9470 0.6980 Ca
0.2500 0.4470 0.8020 Ca
0.7500 0.6659 0.5557 Ca
0.7500 0.5530 0.1980 Ca
0.2500 0.3341 0.4443 Ca
0.2500 0.7782 0.3456 Fe
0.7500 0.2218 0.6544 Fe
0.7500 0.7218 0.8456 Fe
0.2500 0.2782 0.1544 Fe
0.7500 0.2926 0.4815 N
0.7500 0.4570 0.7640 N
0.2500 0.2074 0.9815 N
0.2500 0.0430 0.2640 N
0.7500 0.7926 0.0185 N
0.2500 0.5430 0.2360 N
0.7500 0.9570 0.7360 N
0.2500 0.7074 0.5185 N

PmLuNi4 (PBE-GGA, relaxed); V = 15.4 Å³ per atom; VASP energy = -34.963 eV for the cell shown; calculated formation energy = -0.43 eV per atom
1.0
-4.6084 0.2794 2.1067
-3.8172 -2.7720 -1.8703
-1.8206 -3.9262 2.6502
Pm Lu Ni
1 1 4
direct
0.2500 0.2500 0.2500 Pm
0.0000 0.0000 0.0000 Lu
0.6260 0.6260 0.1220 Ni
0.6260 0.1220 0.6260 Ni
0.6260 0.6260 0.6260 Ni
0.1220 0.6260 0.6260 Ni

MnAlNi2C (PBE-GGA, relaxed); V = 10.7 Å³ per atom; VASP energy = -34.711 eV for the cell shown; calculated formation energy = -0.20 eV per atom
1.0
-0.7847 -3.6498 -0.5010
1.2601 0.2154 -3.5431
3.4551 -0.9040 1.1739
Ni Mn Al C
2 1 1 1
direct
0.0000 0.5000 0.0000 Ni
0.5000 0.0000 0.0000 Ni
0.0000 0.0000 0.5000 Mn
0.5000 0.5000 0.5000 Al
0.0000 0.0000 0.0000 C

CdTe2Se (PBE-GGA, relaxed); V = 25.5 Å³ per atom; uncorrected formation energy = 0.283 eV/atom; VASP energy = -9.550 eV for the cell shown
1.0
0.0000 3.7070 3.7070
3.7070 0.0000 3.7070
3.7070 3.7070 0.0000
Se Cd Te
1 1 2
direct
0.0000 0.0000 0.0000 Se
0.5000 0.5000 0.5000 Cd
0.2500 0.2500 0.2500 Te
0.7500 0.7500 0.7500 Te

KRu2W (PBE-GGA, relaxed); V = 18.6 Å³ per atom; VASP energy = -29.254 eV for the cell shown; calculated formation energy = 0.84 eV per atom; E above lowest polymorph = 0.963 eV/f.u.
1.0
-1.8595 -1.8543 -0.7866
-0.3437 -0.7628 2.6106
-7.1542 6.7386 1.0270
W K Ru
1 1 2
direct
0.0000 0.0000 0.4425 W
0.5000 0.5000 0.7689 K
0.5000 0.5000 0.2318 Ru
0.0000 0.0000 0.0569 Ru

BaGePCl2 (PBE-GGA, relaxed); V = 43.6 Å³ per atom; uncorrected formation energy = -0.125 eV/atom; VASP energy = -16.269 eV for the cell shown; E above lowest polymorph = 3.997 eV/f.u.
1.0
-4.2424 1.3629 -3.7056
2.8329 -2.7379 -4.2503
-3.0802 -5.5136 1.4986
Cl Ge Ba P
2 1 1 1
direct
0.0000 0.5000 0.0000 Cl
0.5000 0.0000 0.0000 Cl
0.5000 0.5000 0.5000 Ge
0.0000 0.0000 0.0000 Ba
0.0000 0.0000 0.5000 P

NdHgRh (PBE-GGA, relaxed); V = 22.4 Å³ per atom; VASP energy = -13.663 eV for the cell shown; calculated formation energy = -0.41 eV per atom
1.0
-2.8023 -1.3291 -2.0387
2.4188 -1.1776 -2.5570
0.5448 -3.0271 4.6032
Hg Nd Rh
1 1 1
direct
0.6257 0.6257 0.2514 Hg
0.9371 0.9371 0.8743 Nd
0.2872 0.2872 0.5743 Rh